1.
## RbTe2Se6S2 (PBE)

Data for crystalline RbTe2Se6S2 at its relaxed geometry.

Output
The calculated total energy is -37.55 eV/cell. Its density of states at the Fermi level is 2.65 states/eV/cell. The formation energy (no corrections) comes out at -104 meV per atom.

Lattice parameters (Å, degrees): 7.282 7.600 7.993 112.04 98.74 107.40
Space group P-1 (No. 2)
Symmetry-distinct sites (fractional):
Rb  0.000  0.000  0.000 x1
Te  0.343  0.360  0.733 x2
Se  0.082  0.768  0.353 x2
Se  0.259  0.518  0.043 x2
Se  0.451  0.707  0.648 x2
S  0.265  0.893  0.655 x2

2.
## ThZnNiIr (PBE)

Data for crystalline ThZnNiIr at its relaxed geometry.

Output
The offset from the most stable computed form comes out at 172 meV/atom. The calculated total energy is -99.29 eV/cell. Its density of states at the Fermi level is 10.57 states/eV/cell. As for the formation energy: -0.37 eV per atom.

Lattice parameters (Å, degrees): 6.646 6.646 6.646 90.00 90.00 90.00
Space group F-43m (No. 216)
Symmetry-distinct sites (fractional):
Th  0.000  0.000  0.000 x4
Zn  0.000  0.000  0.500 x4
Ni  0.250  0.250  0.750 x4
Ir  0.250  0.250  0.250 x4

3.
## VNiCl2 (PBE)

Data for crystalline VNiCl2 at its relaxed geometry.

Output
The offset from the most stable computed form comes out at 263 meV/atom. The calculated total energy is -54.80 eV/cell. Its density of states at the Fermi level is 19.99 states/eV/cell. The formation energy (no corrections) comes out at 82 meV per atom.

Lattice parameters (Å, degrees): 3.3895 3.3895 22.6774 90.00 90.00 120.00
Space group R-3m (No. 166, hexagonal axes)
Symmetry-distinct sites (fractional):
V  0.0000  0.0000  0.0000 x3
Ni  0.0000  0.0000  0.5000 x3
Cl  0.0000  0.0000  0.1045 x6

4.
## Ca2FeP2 (PBE)

Data for crystalline Ca2FeP2 at its relaxed geometry.

Output
The calculated total energy is -46.37 eV/cell. Its density of states at the Fermi level is 12.56 states/eV/cell. As for the formation energy: 0.02 eV per atom.

Lattice parameters (Å, degrees): 3.515 3.515 17.549 90.00 90.00 90.00
Space group I4/mmm (No. 139)
Symmetry-distinct sites (fractional):
Ca  0.000  0.000  0.115 x4
Fe  0.000  0.000  0.500 x2
P  0.000  0.500  0.250 x4

5.
## ScIn2Mo (PBE)

Data for crystalline ScIn2Mo at its relaxed geometry.

Output
The offset from the most stable computed form comes out at 211 meV/atom. The calculated total energy is -44.05 eV/cell. Its density of states at the Fermi level is 6.59 states/eV/cell. As for the formation energy: 0.15 eV per atom.

Lattice parameters (Å, degrees): 3.711 4.952 9.223 90.00 90.00 90.00
Space group Cmm2 (No. 35)
Symmetry-distinct sites (fractional):
Sc  0.000  0.000  0.000 x2
In  0.000  0.000  0.453 x2
In  0.000  0.500  0.728 x2
Mo  0.000  0.500  0.222 x2

6.
## BiH2Br3 (PBE)

Data for crystalline BiH2Br3 at its relaxed geometry.

Output
The calculated total energy is -55.55 eV/cell.

Lattice parameters (Å, degrees): 15.778 5.844 8.351 90.00 90.00 90.00
Space group Cmcm (No. 63)
Symmetry-distinct sites (fractional):
Bi  0.000  0.024  0.250 x4
H  0.207  0.499  0.750 x8
Br  0.000  0.488  0.250 x4
Br  0.128  0.000  0.000 x8

7.
## PrHo2Bi (PBE)

Data for crystalline PrHo2Bi at its relaxed geometry.

Output
The offset from the most stable computed form comes out at 41 meV/atom. The calculated total energy is -19.25 eV/cell. Its density of states at the Fermi level is 4.52 states/eV/cell. As for the formation energy: -0.36 eV per atom.

Lattice parameters (Å, degrees): 4.936 4.936 4.876 90.00 90.00 90.00
Space group P4/mmm (No. 123)
Symmetry-distinct sites (fractional):
Pr  0.000  0.000  0.000 x1
Ho  0.000  0.500  0.500 x2
Bi  0.500  0.500  0.000 x1

8.
## Tl9CdPb2 (PBE)

Data for crystalline Tl9CdPb2 at its relaxed geometry.

Output
The calculated total energy is -29.36 eV/cell. Its density of states at the Fermi level is 5.18 states/eV/cell. As for the formation energy: 0.02 eV per atom.

Lattice parameters (Å, degrees): 5.231 5.231 13.246 90.00 90.00 90.00
Space group P4/mmm (No. 123)
Symmetry-distinct sites (fractional):
Tl  0.000  0.000  0.000 x1
Tl  0.000  0.000  0.327 x2
Tl  0.000  0.500  0.160 x4
Tl  0.000  0.500  0.500 x2
Cd  0.500  0.500  0.000 x1
Pb  0.500  0.500  0.331 x2

9.
## Be2Se (PBE)

Data for crystalline Be2Se at its relaxed geometry.

Output
The offset from the most stable computed form comes out at 478 meV/atom. The calculated total energy is -41.48 eV/cell. Its density of states at the Fermi level is 2.26 states/eV/cell. The formation energy (no corrections) comes out at 189 meV per atom.

Lattice parameters (Å, degrees): 3.321 17.927 3.145 90.00 90.00 90.00
Space group Cmcm (No. 63)
Symmetry-distinct sites (fractional):
Be  0.000  0.152  0.250 x4
Be  0.000  0.264  0.750 x4
Se  0.000  0.386  0.250 x4

10.
## Tb5Tm2Mg5 (PBE)

Data for crystalline Tb5Tm2Mg5 at its relaxed geometry.

Output
The offset from the most stable computed form comes out at 45 meV/atom. The calculated total energy is -79.91 eV/cell. Its density of states at the Fermi level is 26.74 states/eV/cell. As for the formation energy: 0.01 eV per atom.

Lattice parameters (Å, degrees): 12.090 5.269 11.295 90.00 110.23 90.00
Space group C2/m (No. 12)
Symmetry-distinct sites (fractional):
Tb  0.000  0.000  0.000 x2
Tb  0.105  0.000  0.753 x4
Tb  0.159  0.000  0.480 x4
Tm  0.089  0.500  0.242 x4
Mg  0.000  0.500  0.500 x2
Mg  0.172  0.500  0.978 x4
Mg  0.246  0.500  0.744 x4

11.
## TcPdSeBr2 (PBE)

Data for crystalline TcPdSeBr2 at its relaxed geometry.

Output
The offset from the most stable computed form comes out at 0 meV/atom. The calculated total energy is -19.86 eV/cell. Its density of states at the Fermi level is 8.43 states/eV/cell. The formation energy (no corrections) comes out at 506 meV per atom.

Lattice parameters (Å, degrees): 5.210 5.210 4.693 90.00 90.00 90.00
Space group P4/mmm (No. 123)
Symmetry-distinct sites (fractional):
Tc  0.000  0.000  0.000 x1
Pd  0.500  0.500  0.500 x1
Se  0.000  0.000  0.500 x1
Br  0.000  0.500  0.000 x2

12.
## Dy8ZnBi2 (PBE)

Data for crystalline Dy8ZnBi2 at its relaxed geometry.

Output
The calculated total energy is -97.65 eV/cell. Its density of states at the Fermi level is 22.47 states/eV/cell. As for the formation energy: -0.27 eV per atom.

Lattice parameters (Å, degrees): 19.166 5.042 6.871 90.00 102.44 90.00
Space group C2/m (No. 12)
Symmetry-distinct sites (fractional):
Dy  0.011  0.000  0.271 x4
Dy  0.091  0.500  0.981 x4
Dy  0.151  0.500  0.525 x4
Dy  0.214  0.000  0.838 x4
Zn  0.000  0.500  0.500 x2
Bi  0.180  0.000  0.277 x4

13.
## ErHfC (PBE)

Data for crystalline ErHfC at its relaxed geometry.

Output
The offset from the most stable computed form comes out at 0 meV/atom. The calculated total energy is -24.99 eV/cell. Its density of states at the Fermi level is 3.21 states/eV/cell. As for the formation energy: -0.42 eV per atom.

Lattice parameters (Å, degrees): 3.4012 3.4012 5.7041 90.00 90.00 120.00
Space group P3m1 (No. 156)
Symmetry-distinct sites (fractional):
Er  0.0000  0.0000  0.0000 x1
Hf  0.6667  0.3333  0.4565 x1
C  0.3333  0.6667  0.2648 x1